# 1
4
Lattice="0.0000 3.4371 3.4371 3.4371 0.0000 3.4371 3.4371 3.4371 0.0000" Properties=species:S:1:pos:R:3 comment="As2HI, optimized geometry, DFT GGA-PBE" space_group=Fm-3m relative_energy_mev_per_atom=442 dos_ef_per_ev_cell=2.64 pbc="T T T"
As 1.7185 1.7185 1.7185
As 5.1556 5.1556 5.1556
H 0.0000 0.0000 0.0000
I 3.4371 3.4371 3.4371

# 2
5
Lattice="3.9671 0.0000 0.0000 0.0000 3.9671 0.0000 0.0000 0.0000 4.9047" Properties=species:S:1:pos:R:3 comment="AsH2IrI, optimized geometry, DFT GGA-PBE" space_group=P4/mmm dos_ef_per_ev_cell=1.45 pbc="T T T"
As 0.0000 0.0000 0.0000
H 0.0000 1.9835 2.4524
H 1.9835 0.0000 2.4524
Ir 0.0000 0.0000 2.4524
I 1.9835 1.9835 0.0000

# 3
8
Lattice="7.4374 0.0000 0.0000 0.0000 4.1375 0.0000 -2.1606 0.0000 7.7729" Properties=species:S:1:pos:R:3 comment="La4AsHI2, optimized geometry, DFT GGA-PBE" space_group=P2/m dos_ef_per_ev_cell=5.94 pbc="T T T"
La 1.1912 0.0000 1.5291
La 0.0542 2.0687 6.2768
La 5.2226 2.0687 1.4961
La 4.0856 0.0000 6.2438
As 3.7187 0.0000 0.0000
H 0.0000 2.0687 0.0000
I -1.0803 0.0000 3.8865
I 2.6384 2.0687 3.8865

# 4
6
Lattice="4.1857 0.0000 0.0000 -2.0928 3.6249 0.0000 0.0000 0.0000 8.7015" Properties=species:S:1:pos:R:3 comment="La2AsH2I, optimized geometry, DFT GGA-PBE" space_group=P-3m1 pbc="T T T"
La 0.0000 2.4166 1.8379
La 2.0928 1.2083 6.8636
As 0.0000 0.0000 0.0000
H 0.0000 2.4166 6.6049
H 2.0928 1.2083 2.0966
I 0.0000 0.0000 4.3508

# 5
16
Lattice="4.3441 2.5081 7.6194 -4.3441 2.5081 7.6194 0.0000 -5.0161 7.6194" Properties=species:S:1:pos:R:3 comment="La8As3HI4, optimized geometry, DFT GGA-PBE" space_group=R-3m dos_ef_per_ev_cell=11.24 pbc="T T T"
La 0.0000 0.0000 5.3887
La -2.0858 -1.2042 12.9617
La 0.0000 -2.4085 9.8964
La -2.0858 1.2042 9.8964
La 2.0858 -1.2042 12.9617
La 0.0000 2.4085 12.9617
La 2.0858 1.2042 9.8964
La 0.0000 0.0000 17.4695
As -4.3441 0.0000 11.4291
As -2.1720 1.2540 3.8097
As 2.1720 1.2540 3.8097
H 0.0000 0.0000 11.4291
I 0.0000 0.0000 0.0000
I -2.1720 -1.2540 7.6194
I -2.1720 1.2540 15.2388
I 0.0000 2.5081 7.6194

# 6
5
Lattice="5.4781 0.0000 0.0000 0.0000 5.4781 0.0000 0.0000 0.0000 4.6922" Properties=species:S:1:pos:R:3 comment="LiAsHI2, optimized geometry, DFT GGA-PBE" space_group=P4/mmm dos_ef_per_ev_cell=2.85 pbc="T T T"
Li 0.0000 0.0000 0.0000
As 0.0000 0.0000 2.3461
H 2.7390 2.7390 2.3461
I 0.0000 2.7390 0.0000
I 2.7390 0.0000 0.0000

no.,spin magnetization (μB/atom),V (Å³/cell),final energy (eV per atom)
1,0.000,81,-2.420
2,0.000,77,-3.880
3,0.000,239,-4.825
4,0.000,132,-4.950
5,0.000,498,-5.103
6,0.192,141,-2.011